18
Lattice="-5.6128 2.5058 -3.8543 -5.7244 -4.4417 -0.3747 -5.7643 2.0467 3.9015" Properties=species:S:1:pos:R:3 comment="K2Pu3CoO12 | Alexandria via LeMat-Bulk | PBE with a Hubbard U | relaxed" e_tot_ev_per_fu=-148.27 space_group=R-3m pbc="T T T"
O -4.6790 -2.8534 -0.2603
K -6.2367 0.0404 -0.1194
O -12.4225 2.9643 -0.0672
O -9.1227 -2.6935 -0.3376
O -12.3968 -1.2134 -2.8205
O -9.1472 1.2942 2.2906
O -4.6071 1.6198 -2.5007
K -10.8648 0.0704 -0.2081
O -12.4944 -1.5090 2.1732
O -9.0541 1.5764 -2.4762
O -8.0474 -1.4655 2.1487
O -4.7047 1.3243 2.4931
Pu -2.8821 1.0234 1.9508
Pu -2.8622 -2.2208 -0.1874
Co 0.0000 0.0000 0.0000
Pu -2.8064 1.2529 -1.9272
O -7.9543 -1.1834 -2.6180
O -7.9788 2.8044 0.0101